[1]
# LaHoTl2Se4

An optimized crystal structure of LaHoTl2Se4 (PBE-GGA, Alexandria).

Cell: 7.448 4.296 8.124 Å, 90.00 107.71 90.00°
Fractional coordinates of all 8 atoms:
1 La 0.000 0.000 0.000
2 Ho 0.500 0.500 0.000
3 Tl 0.000 0.500 0.500
4 Tl 0.500 0.000 0.500
5 Se 0.249 0.500 0.209
6 Se 0.276 0.000 0.795
7 Se 0.724 0.000 0.205
8 Se 0.751 0.500 0.791

Values from the calculation:
- M_tot: 0.000 μB/atom
- E: -4.94 eV per atom
- Formation energy from raw total energies: -136.4 kJ per mole of atoms
- Crystal system: monoclinic

=====

[2]
# LaReOs2Ru

An optimized crystal structure of LaReOs2Ru (PBE-GGA, Alexandria).

Cell: 4.781 4.781 4.737 Å, 90.00 90.00 90.00°
Fractional coordinates of all 5 atoms:
1 La 0.000 0.000 0.000
2 Re 0.500 0.500 0.500
3 Os 0.000 0.500 0.500
4 Os 0.500 0.000 0.500
5 Ru 0.500 0.500 0.000

Values from the calculation:
- M_tot: 0.000 μB/atom
- DOS at the Fermi energy: 4.68 states/eV/f.u.
- E: -8.87 eV per atom
- Crystal system: tetragonal
- Energy relative to the elements: 957 meV/atom

=====

[3]
# Pu2Si3Pt3

An optimized crystal structure of Pu2Si3Pt3 (PBE-GGA, Alexandria).

Cell: 2.719 2.719 20.624 Å, 90.00 90.00 90.00°
Fractional coordinates of all 8 atoms:
1 Pu 0.000 0.000 0.250
2 Pu 0.000 0.000 0.750
3 Si 0.000 0.000 0.000
4 Si 0.000 0.000 0.385
5 Si 0.000 0.000 0.615
6 Pt 0.000 0.000 0.115
7 Pt 0.000 0.000 0.500
8 Pt 0.000 0.000 0.885

Values from the calculation:
- M_tot: 1.177 μB/atom
- DOS at the Fermi energy: 10.55 states/eV/f.u.
- E: -7.63 eV per atom
- Formation energy from raw total energies: 24.2 kJ per mole of atoms
- Crystal system: tetragonal